Entry 1:
Below is a geometry-optimized La8SmY5 structure, with properties calculated at the GGA-PBE level.

As for the formation energy from the elements: 0.242 eV/atom. Its energy is -146.14 eV per cell.

The structure belongs to space group I-4 (No. 82); the cell edges are 9.817, 9.817 and 10.495 Å and the angles 90.00°, 90.00° and 90.00°. Symmetry generates all atoms from La at (0.067, 0.331, 0.405), La at (0.093, 0.184, 0.749), Sm at (0.000, 0.500, 0.750), Y at (0.000, 0.000, 0.500) and Y at (0.108, 0.200, 0.074).



Entry 2:
Below is a geometry-optimized Tl3Sn2As2 structure, with properties calculated at the GGA-PBE level.

As for the formation energy from the elements: -0.015 eV/atom. Its energy is -24.51 eV per cell.

The structure belongs to space group P-1 (No. 2); the cell edges are 4.018, 6.938 and 7.918 Å and the angles 74.75°, 89.67° and 74.34°. Symmetry generates all atoms from Tl at (0.000, 0.000, 0.000), Tl at (0.130, 0.771, 0.439), Sn at (0.341, 0.307, 0.185) and As at (0.296, 0.402, 0.810).



Entry 3:
Below is a geometry-optimized Ta2CuSe structure, with properties calculated at the GGA-PBE level.

The value obtained for the uncorrected formation energy is 0.113 eV per atom. Its energy is -61.67 eV per cell.

The structure belongs to space group Imm2 (No. 44); the cell edges are 3.150, 4.588 and 9.086 Å and the angles 90.00°, 90.00° and 90.00°. Symmetry generates all atoms from Ta at (0.000, 0.000, 0.000), Ta at (0.000, 0.500, 0.224), Cu at (0.000, 0.500, 0.756) and Se at (0.000, 0.000, 0.492).



Entry 4:
Below is a geometry-optimized RbAsPCl2 structure, with properties calculated at the GGA-PBE level.

The value obtained for the uncorrected formation energy is -0.443 eV per atom. As for the energy above the lowest structure with this stoichiometry: 0.00 eV/f.u. Its energy is -16.93 eV per cell.

The structure belongs to space group P4/mmm (No. 123); the cell edges are 5.444, 5.444 and 4.804 Å and the angles 90.00°, 90.00° and 90.00°. Symmetry generates all atoms from Rb at (0.000, 0.000, 0.000), As at (0.500, 0.500, 0.500), P at (0.500, 0.500, 0.000) and Cl at (0.000, 0.500, 0.500).



Entry 5:
Below is a geometry-optimized LaPaCdGe structure, with properties calculated at the GGA-PBE level.

As for the formation energy from the elements: -0.113 eV/atom. Its energy is -81.62 eV per cell.

The structure belongs to space group F-43m (No. 216); the cell edges are 7.466, 7.466 and 7.466 Å and the angles 90.00°, 90.00° and 90.00°. Symmetry generates all atoms from La at (0.000, 0.000, 0.000), Pa at (0.000, 0.000, 0.500), Cd at (0.250, 0.250, 0.750) and Ge at (0.250, 0.250, 0.250).



Entry 6:
Below is a geometry-optimized Li2CuMo structure, with properties calculated at the GGA-PBE level.

As for the energy above the lowest structure with this stoichiometry: 1.37 eV/f.u. As for the formation energy from the elements: 0.543 eV/atom. Its energy is -33.17 eV per cell.

The structure belongs to space group I-4m2 (No. 119); the cell edges are 4.255, 4.255 and 6.004 Å and the angles 90.00°, 90.00° and 90.00°. Symmetry generates all atoms from Li at (0.000, 0.000, 0.000), Li at (0.000, 0.500, 0.250), Cu at (0.000, 0.500, 0.750) and Mo at (0.000, 0.000, 0.500).